Li4Tl3Sn: optimized geometry, PBE-GGA.

Computed properties:
The calculation puts the total magnetic moment at 0.000 μB/f.u. As for the energy relative to the elements: -0.25 eV/atom. For the calculated total energy, the calculation gives -41.575 eV for the cell shown.

Cell: 14.5244 4.9598 4.9599 Å, 90.00 109.92 90.00°
With the nearest neighbours (Å) after each atom.
Space group C2/m (No. 12)
Asymmetric unit:
Li (0.1222, 0.0000, 0.1215) (multiplicity 4)  6 Tl 2.99-3.06, 2 Sn 2.99, 1 Li 3.34
Li (0.1222, 0.5000, 0.6226) (multiplicity 4)  2 Sn 2.99, 6 Tl 2.99-3.06, 1 Li 3.34
Tl (0.0000, 0.0000, 0.5000) (multiplicity 2)  8 Li 2.99
Tl (0.2468, 0.5000, 0.2482) (multiplicity 4)  8 Li 3.00-3.06
Sn (0.0000, 0.5000, 0.0000) (multiplicity 2)  8 Li 2.99

***

LiTlSn: optimized geometry, PBE-GGA.

Computed properties:
The calculation puts the total magnetic moment at 0.000 μB/f.u. As for the energy relative to the elements: -0.09 eV/atom. For the calculated total energy, the calculation gives -34.171 eV for the cell shown.

Cell: 5.2228 8.6090 6.6434 Å, 90.00 90.00 90.00°
With the nearest neighbours (Å) after each atom.
Space group Cmcm (No. 63)
Asymmetric unit:
Li (0.0000, 0.1797, 0.2500) (multiplicity 4)  3 Sn 2.92-2.96, 2 Tl 3.22
Tl (0.0000, 0.5000, 0.0000) (multiplicity 4)  6 Li 3.22-3.46, 2 Tl 3.32, 6 Sn 3.37-3.39
Sn (0.0000, 0.1595, 0.7500) (multiplicity 4)  3 Li 2.92-2.96

***

LiTlSn: optimized geometry, PBE-GGA.

Computed properties:
The calculation puts the total magnetic moment at 0.000 μB/f.u. As for the energy relative to the elements: 0.50 eV/atom. For the calculated total energy, the calculation gives -13.558 eV for the cell shown.

Cell: 4.6314 4.6314 11.6943 Å, 90.00 90.00 120.00°
With the nearest neighbours (Å) after each atom.
Space group P6_3/mmc (No. 194)
Asymmetric unit:
Li (0.3333, 0.6667, 0.2500) (multiplicity 2)  3 Tl 2.67
Tl (0.0000, 0.0000, 0.2500) (multiplicity 2)  3 Li 2.67, 2 Sn 2.92
Sn (0.0000, 0.0000, 0.0000) (multiplicity 2)  2 Tl 2.92

***

LiTl8Sn2: optimized geometry, PBE-GGA.

Computed properties:
The calculation puts the total magnetic moment at 0.000 μB/f.u. As for the energy relative to the elements: 0.06 eV/atom. For the calculated total energy, the calculation gives -56.462 eV for the cell shown.

Cell: 12.2349 10.5364 5.7037 Å, 90.00 107.04 90.00°
With the nearest neighbours (Å) after each atom.
Space group C2/m (No. 12)
Asymmetric unit:
Li (0.0000, 0.0000, 0.0000) (multiplicity 2)  2 Sn 2.90, 6 Tl 3.03-3.09
Tl (0.0803, 0.2465, 0.8075) (multiplicity 8)  1 Li 3.09, 1 Sn 3.21, 3 Tl 3.28-3.35
Tl (0.0906, 0.5000, 0.3092) (multiplicity 4)  1 Sn 3.32, 6 Tl 3.33-3.57
Tl (0.2425, 0.5000, 0.8975) (multiplicity 4)  1 Li 3.03, 2 Sn 3.23-3.26, 3 Tl 3.28-3.33
Sn (0.1252, 0.0000, 0.5165) (multiplicity 4)  1 Li 2.90, 1 Sn 3.01, 3 Tl 3.21-3.23

***

LiTl2Sn: optimized geometry, PBE-GGA.

Computed properties:
The calculation puts the total magnetic moment at 0.000 μB/f.u. As for the energy relative to the elements: 0.03 eV/atom. For the calculated total energy, the calculation gives -42.061 eV for the cell shown. Its energy above the most stable polymorph in this dataset is 0.106 eV per atom.

Cell: 4.5537 4.5537 21.3625 Å, 90.00 90.00 90.00°
With the nearest neighbours (Å) after each atom.
Space group I-42d (No. 122)
Asymmetric unit:
Li (0.0000, 0.0000, 0.0000) (multiplicity 4)  4 Tl 3.10, 4 Sn 3.22
Tl (0.2371, 0.2500, 0.1250) (multiplicity 8)  2 Li 3.10, 4 Tl 3.14-3.30, 2 Sn 3.14
Sn (0.0000, 0.0000, 0.5000) (multiplicity 4)  4 Tl 3.14, 4 Li 3.22

***

Li3TlSn: optimized geometry, PBE-GGA.

Computed properties:
The calculation puts the total magnetic moment at 0.000 μB/f.u. As for the energy relative to the elements: -0.04 eV/atom. For the calculated total energy, the calculation gives -12.305 eV for the cell shown. Its energy above the most stable polymorph in this dataset is 0.238 eV per atom.

Cell: 5.2035 5.2035 5.2035 Å, 90.00 90.00 90.00°
With the nearest neighbours (Å) after each atom.
Space group Pm-3m (No. 221)
Asymmetric unit:
Li (0.0000, 0.0000, 0.5000) (multiplicity 3)  2 Sn 2.60
Tl (0.5000, 0.5000, 0.5000) (multiplicity 1)  12 Li 3.68
Sn (0.0000, 0.0000, 0.0000) (multiplicity 1)  6 Li 2.60

***

Li4Tl2Sn: optimized geometry, PBE-GGA.

Computed properties:
The calculation puts the total magnetic moment at 0.000 μB/f.u. As for the energy relative to the elements: -0.05 eV/atom. For the calculated total energy, the calculation gives -33.496 eV for the cell shown. Its energy above the most stable polymorph in this dataset is 0.193 eV per atom.

Cell: 5.0842 5.0842 14.4089 Å, 90.00 90.00 90.00°
With the nearest neighbours (Å) after each atom.
Space group I4/mmm (No. 139)
Asymmetric unit:
Li (0.0000, 0.0000, 0.1892) (multiplicity 4)  1 Sn 2.73, 1 Tl 2.81
Li (0.0000, 0.5000, 0.0000) (multiplicity 4)  2 Sn 2.54
Tl (0.0000, 0.0000, 0.3845) (multiplicity 4)  5 Li 2.81-3.04
Sn (0.0000, 0.0000, 0.0000) (multiplicity 2)  6 Li 2.54-2.73

***

Li2TlSn: optimized geometry, PBE-GGA.

Computed properties:
The calculation puts the total magnetic moment at 0.000 μB/f.u. As for the energy relative to the elements: -0.28 eV/atom. For the calculated total energy, the calculation gives -11.304 eV for the cell shown. Its energy above the most stable polymorph in this dataset is 0.009 eV per atom.

Cell: 4.8410 4.8410 3.5352 Å, 90.00 90.00 90.00°
With the nearest neighbours (Å) after each atom.
Space group P4/mmm (No. 123)
Asymmetric unit:
Li (0.0000, 0.5000, 0.0000) (multiplicity 2)  4 Tl 3.00, 4 Sn 3.00
Tl (0.0000, 0.0000, 0.5000) (multiplicity 1)  8 Li 3.00
Sn (0.5000, 0.5000, 0.5000) (multiplicity 1)  8 Li 3.00

***

LiTlSn: optimized geometry, PBE-GGA.

Computed properties:
The calculation puts the total magnetic moment at 0.000 μB/f.u. As for the energy relative to the elements: -0.17 eV/atom. For the calculated total energy, the calculation gives -35.113 eV for the cell shown.

Cell: 3.4182 13.7751 6.3803 Å, 90.00 90.00 90.00°
With the nearest neighbours (Å) after each atom.
Space group Cmcm (No. 63)
Asymmetric unit:
Li (0.0000, 0.1337, 0.2500) (multiplicity 4)  4 Sn 2.98, 4 Tl 3.07-3.26
Tl (0.0000, 0.1810, 0.7500) (multiplicity 4)  4 Li 3.07-3.26, 2 Tl 3.42, 4 Sn 3.42
Sn (0.0000, 0.5000, 0.0000) (multiplicity 4)  4 Li 2.98, 2 Sn 3.19

***

Li7Tl2Sn: optimized geometry, PBE-GGA.

Computed properties:
The calculation puts the total magnetic moment at 0.000 μB/f.u. As for the energy relative to the elements: -0.18 eV/atom. For the calculated total energy, the calculation gives -23.953 eV for the cell shown. Its energy above the most stable polymorph in this dataset is 0.000 eV per atom.

Cell: 4.7208 4.7208 10.3468 Å, 90.00 90.00 120.00°
With the nearest neighbours (Å) after each atom.
Space group P3m1 (No. 156)
Asymmetric unit:
Li (0.0000, 0.0000, 0.0000) (multiplicity 1)  1 Li 2.45, 1 Tl 2.67
Li (0.0000, 0.0000, 0.2371) (multiplicity 1)  2 Li 2.45-2.56
Li (0.0000, 0.0000, 0.4847) (multiplicity 1)  4 Li 2.56-2.85, 1 Tl 2.66
Li (0.3333, 0.6667, 0.0655) (multiplicity 1)  3 Li 2.81, 3 Sn 2.88
Li (0.3333, 0.6667, 0.6834) (multiplicity 1)  3 Tl 2.79, 3 Li 2.99
Li (0.6667, 0.3333, 0.5645) (multiplicity 1)  7 Li 2.85-3.10
Li (0.6667, 0.3333, 0.8645) (multiplicity 1)  3 Tl 3.00, 1 Sn 3.01, 7 Li 3.06-3.31
Tl (0.0000, 0.0000, 0.7423) (multiplicity 1)  5 Li 2.66-2.79
Tl (0.3333, 0.6667, 0.3706) (multiplicity 1)  8 Li 2.97-3.24
Sn (0.6667, 0.3333, 0.1556) (multiplicity 1)  10 Li 2.85-3.17

***

Li2TlSn: optimized geometry, PBE-GGA.

Computed properties:
The calculation puts the total magnetic moment at 0.000 μB/f.u. As for the energy relative to the elements: -0.07 eV/atom. For the calculated total energy, the calculation gives -41.847 eV for the cell shown. Its energy above the most stable polymorph in this dataset is 0.220 eV per atom.

Cell: 7.7151 7.7151 6.2863 Å, 90.00 90.00 90.00°
With the nearest neighbours (Å) after each atom.
Space group I-42d (No. 122)
Asymmetric unit:
Li (0.2501, 0.2500, 0.1250) (multiplicity 8)  2 Sn 2.84, 2 Tl 2.84, 2 Li 3.14
Tl (0.0000, 0.0000, 0.0000) (multiplicity 4)  4 Li 2.84, 2 Sn 3.14
Sn (0.0000, 0.0000, 0.5000) (multiplicity 4)  4 Li 2.84, 2 Tl 3.14